BaMoIO2, relaxed, DFT GGA+U; symmetry = P4/mmm; energy = -4.26 eV per atom; spin magnetization = 0.961 μB per atom; ΔE to the lowest computed polymorph = 865 meV/atom
1.0
4.552 0.000 0.000
0.000 4.552 0.000
0.000 0.000 7.205
Ba Mo I O
1 1 1 2
Direct
0.000 0.000 0.000 Ba
0.500 0.500 0.500 Mo
0.000 0.000 0.500 I
0.000 0.500 0.000 O
0.500 0.000 0.000 O